# 1
The following is a SCAN calculation of a PBEsol-optimized structure of Ca2Mg2Cu, from Alexandria.

Output
SG ... Ibam
Energy of formation from the pure elements ... -82.1 meV/atom
DFT total energy ... -8.98 eV per atom
Crystal system ... orthorhombic

Cell lengths 8.229, 8.229, 8.229 Å; angles 133.26, 63.01, 140.22 degrees
Fractional positions:
1 Ca 0.170 0.181 0.351
2 Ca 0.330 0.681 0.012
3 Ca 0.670 0.319 0.988
4 Ca 0.830 0.819 0.649
5 Mg 0.070 0.674 0.744
6 Mg 0.430 0.174 0.604
7 Mg 0.570 0.826 0.396
8 Mg 0.930 0.326 0.256
9 Cu 0.250 0.250 0.000
10 Cu 0.750 0.750 0.000

# 2
The following is a SCAN calculation of a PBEsol-optimized structure of CdIn2W, from Alexandria.

Output
SG ... R-3m
Energy of formation from the pure elements ... 488.7 meV/atom
DFT total energy ... -41.23 eV per atom
Crystal system ... trigonal

Cell lengths 9.883, 9.883, 9.883 Å; angles 17.81, 17.81, 17.81 degrees
Fractional positions:
1 Cd 0.000 0.000 0.000
2 In 0.246 0.246 0.246
3 In 0.754 0.754 0.754
4 W 0.500 0.500 0.500

# 3
The following is a SCAN calculation of a PBEsol-optimized structure of CeMgB5O10, from Alexandria.

Output
SG ... P2_1/c
Formation energy from raw total energies ... -2931 meV per atom
DFT total energy ... -11.70 eV per atom
Crystal system ... monoclinic

Cell lengths 8.736, 7.605, 12.569 Å; angles 90.00, 131.32, 90.00 degrees
Fractional positions:
1 Ce 0.051 0.187 0.236
2 Ce 0.051 0.313 0.736
3 Ce 0.949 0.687 0.264
4 Ce 0.949 0.813 0.764
5 Mg 0.482 0.588 0.876
6 Mg 0.482 0.912 0.376
7 Mg 0.518 0.088 0.624
8 Mg 0.518 0.412 0.124
9 B 0.095 0.671 0.610
10 B 0.095 0.829 0.110
11 B 0.157 0.596 0.006
12 B 0.157 0.904 0.506
13 B 0.271 0.032 0.052
14 B 0.271 0.468 0.552
15 B 0.353 0.582 0.267
16 B 0.353 0.918 0.767
17 B 0.484 0.187 0.915
18 B 0.484 0.313 0.415
19 B 0.516 0.687 0.585
20 B 0.516 0.813 0.085
21 B 0.647 0.082 0.233
22 B 0.647 0.418 0.733
23 B 0.729 0.532 0.448
24 B 0.729 0.968 0.948
25 B 0.843 0.096 0.494
26 B 0.843 0.404 0.994
27 B 0.905 0.171 0.890
28 B 0.905 0.329 0.390
29 O 0.028 0.723 0.989
30 O 0.028 0.777 0.489
31 O 0.084 0.104 0.914
32 O 0.084 0.396 0.414
33 O 0.120 0.539 0.888
34 O 0.120 0.961 0.388
35 O 0.212 0.720 0.240
36 O 0.212 0.780 0.740
37 O 0.233 0.524 0.646
38 O 0.233 0.976 0.146
39 O 0.320 0.628 0.509
40 O 0.320 0.872 0.009
41 O 0.322 0.082 0.812
42 O 0.322 0.418 0.312
43 O 0.322 0.537 0.138
44 O 0.322 0.963 0.638
45 O 0.433 0.150 0.430
46 O 0.433 0.350 0.930
47 O 0.441 0.154 0.126
48 O 0.441 0.346 0.626
49 O 0.559 0.654 0.374
50 O 0.559 0.846 0.874
51 O 0.567 0.650 0.070
52 O 0.567 0.850 0.570
53 O 0.678 0.037 0.362
54 O 0.678 0.463 0.862
55 O 0.678 0.582 0.688
56 O 0.678 0.918 0.188
57 O 0.680 0.128 0.991
58 O 0.680 0.372 0.491
59 O 0.767 0.024 0.854
60 O 0.767 0.476 0.354
61 O 0.788 0.220 0.260
62 O 0.788 0.280 0.760
63 O 0.880 0.039 0.612
64 O 0.880 0.461 0.112
65 O 0.916 0.604 0.586
66 O 0.916 0.896 0.086
67 O 0.972 0.223 0.511
68 O 0.972 0.277 0.011

# 4
The following is a SCAN calculation of a PBEsol-optimized structure of Be2CuW, from Alexandria.

Output
SG ... R-3m
Energy of formation from the pure elements ... 236.7 meV/atom
DFT total energy ... -23.16 eV per atom
Crystal system ... trigonal

Cell lengths 7.982, 7.982, 7.982 Å; angles 18.92, 18.92, 18.92 degrees
Fractional positions:
1 Be 0.244 0.244 0.244
2 Be 0.756 0.756 0.756
3 Cu 0.500 0.500 0.500
4 W 0.000 0.000 0.000

# 5
The following is a SCAN calculation of a PBEsol-optimized structure of ZrTl2Rh, from Alexandria.

Output
SG ... Pmmm
Energy of formation from the pure elements ... -64.2 meV/atom
DFT total energy ... -52.36 eV per atom
Crystal system ... orthorhombic

Cell lengths 4.225, 4.237, 4.413 Å; angles 90.00, 90.00, 90.00 degrees
Fractional positions:
1 Zr 0.000 0.000 0.000
2 Tl 0.000 0.500 0.500
3 Tl 0.500 0.000 0.500
4 Rh 0.500 0.500 0.000

# 6
The following is a SCAN calculation of a PBEsol-optimized structure of Cs2NaGdCl6, from Alexandria.

Output
SG ... Fm-3m
Formation energy from raw total energies ... -2377 meV per atom
DFT total energy ... -21.03 eV per atom
Crystal system ... cubic

Cell lengths 7.568, 7.568, 7.568 Å; angles 60.00, 60.00, 60.00 degrees
Fractional positions:
1 Cs 0.250 0.250 0.250
2 Cs 0.750 0.750 0.750
3 Na 0.000 0.000 0.000
4 Gd 0.500 0.500 0.500
5 Cl 0.254 0.254 0.746
6 Cl 0.254 0.746 0.254
7 Cl 0.254 0.746 0.746
8 Cl 0.746 0.254 0.254
9 Cl 0.746 0.254 0.746
10 Cl 0.746 0.746 0.254

# 7
The following is a SCAN calculation of a PBEsol-optimized structure of ZnReOs2, from Alexandria.

Output
SG ... F-43m
Energy of formation from the pure elements ... 466.8 meV/atom
DFT total energy ... -56.63 eV per atom
Crystal system ... cubic

Cell lengths 4.301, 4.301, 4.301 Å; angles 60.00, 60.00, 60.00 degrees
Fractional positions:
1 Zn 0.000 0.000 0.000
2 Re 0.750 0.750 0.750
3 Os 0.250 0.250 0.250
4 Os 0.500 0.500 0.500

# 8
The following is a SCAN calculation of a PBEsol-optimized structure of LaCoF3, from Alexandria.

Output
SG ... Pm-3m
Formation energy from raw total energies ... -2584 meV per atom
DFT total energy ... -16.79 eV per atom
Crystal system ... cubic

Cell lengths 4.653, 4.653, 4.653 Å; angles 90.00, 90.00, 90.00 degrees
Fractional positions:
1 La 0.000 0.000 0.000
2 Co 0.500 0.500 0.500
3 F 0.000 0.000 0.500
4 F 0.000 0.500 0.000
5 F 0.500 0.000 0.000